Record 1
A crystal of Na2TlHg2 relaxed with PBEsol. Source: the Alexandria database, functional meta-GGA SCAN.

The space group is P4/mbm (No. 127) and the conventional cell measures 8.7299, 8.7299 and 3.3106 Å, with angles of 90.00, 90.00 and 90.00 degrees. Symmetry generates all atoms from Na at (0.1413, 0.3587, 0.0000), Tl at (0.0000, 0.0000, 0.0000) and Hg at (0.1552, 0.6552, 0.5000).

For the formation energy, the calculation gives -1.04 eV per formula unit. For the total energy, the calculation gives -218.16 eV per formula unit.



Record 2
A crystal of NaTlHg2 relaxed with PBEsol. Source: the Alexandria database, functional meta-GGA SCAN.

The space group is Fm-3m (No. 225) and the conventional cell measures 7.3015, 7.3015 and 7.3015 Å, with angles of 90.00, 90.00 and 90.00 degrees. Symmetry generates all atoms from Na at (0.0000, 0.0000, 0.0000), Tl at (0.0000, 0.0000, 0.5000) and Hg at (0.2500, 0.2500, 0.2500).

For the formation energy, the calculation gives -0.90 eV per formula unit. For the total energy, the calculation gives -213.81 eV per formula unit.



Record 3
A crystal of Na2ZnHg2 relaxed with PBEsol. Source: the Alexandria database, functional meta-GGA SCAN.

The space group is P4/mbm (No. 127) and the conventional cell measures 7.1405, 7.1405 and 4.7019 Å, with angles of 90.00, 90.00 and 90.00 degrees. Symmetry generates all atoms from Na at (0.1673, 0.3327, 0.0000), Zn at (0.0000, 0.0000, 0.5000) and Hg at (0.1447, 0.6447, 0.5000).

For the formation energy, the calculation gives -0.95 eV per formula unit. For the total energy, the calculation gives -159.23 eV per formula unit.



Record 4
A crystal of NaZr3Hg relaxed with PBEsol. Source: the Alexandria database, functional meta-GGA SCAN.

The space group is Pm-3m (No. 221) and the conventional cell measures 5.2946, 5.2946 and 5.2946 Å, with angles of 90.00, 90.00 and 90.00 degrees. Symmetry generates all atoms from Na at (0.0000, 0.0000, 0.0000), Zr at (0.0000, 0.5000, 0.5000) and Hg at (0.5000, 0.5000, 0.5000).

For the formation energy, the calculation gives 4.44 eV per formula unit. For the total energy, the calculation gives -160.04 eV per formula unit.



Record 5
A crystal of Nb3HgO relaxed with PBEsol. Source: the Alexandria database, functional meta-GGA SCAN.

The space group is Pm-3m (No. 221) and the conventional cell measures 4.2630, 4.2630 and 4.2630 Å, with angles of 90.00, 90.00 and 90.00 degrees. Symmetry generates all atoms from Nb at (0.0000, 0.0000, 0.5000), Hg at (0.5000, 0.5000, 0.5000) and O at (0.0000, 0.0000, 0.0000).

As for the energy relative to the elements, uncorrected: -0.6641 eV/atom. For the total energy, the calculation gives -177.11 eV per formula unit.



Record 6
A crystal of Nb2Hg2O7 relaxed with PBEsol. Source: the Alexandria database, functional meta-GGA SCAN.

The space group is Fd-3m (No. 227, origin choice 2) and the conventional cell measures 10.5246, 10.5246 and 10.5246 Å, with angles of 90.00, 90.00 and 90.00 degrees. Symmetry generates all atoms from Nb at (0.0000, 0.0000, 0.0000), Hg at (0.0000, 0.0000, 0.5000), O at (0.0661, 0.3750, 0.3750) and O at (0.1250, 0.1250, 0.6250).

As for the energy relative to the elements, uncorrected: -1.8576 eV/atom. For the total energy, the calculation gives -266.64 eV per formula unit.



Record 7
A crystal of NbHgOs3 relaxed with PBEsol. Source: the Alexandria database, functional meta-GGA SCAN.

The space group is Pm-3m (No. 221) and the conventional cell measures 4.7153, 4.7153 and 4.7153 Å, with angles of 90.00, 90.00 and 90.00 degrees. Symmetry generates all atoms from Nb at (0.0000, 0.0000, 0.0000), Hg at (0.5000, 0.5000, 0.5000) and Os at (0.0000, 0.0000, 0.5000).

For the formation energy, the calculation gives 11.98 eV per formula unit. For the total energy, the calculation gives -304.96 eV per formula unit.



Record 8
A crystal of YNbHgP2 relaxed with PBEsol. Source: the Alexandria database, functional meta-GGA SCAN.

The space group is P4/mmm (No. 123) and the conventional cell measures 4.7486, 4.7486 and 5.4319 Å, with angles of 90.00, 90.00 and 90.00 degrees. Symmetry generates all atoms from Y at (0.0000, 0.0000, 0.0000), Nb at (0.0000, 0.0000, 0.5000), Hg at (0.5000, 0.5000, 0.0000) and P at (0.0000, 0.5000, 0.5000).

For the formation energy, the calculation gives 0.62 eV per formula unit. For the total energy, the calculation gives -149.31 eV per formula unit.



Which formula does entry 3 have? Na2ZnHg2